Material: Li5Cd2Pb
Method: DFT, PBE
State: optimized geometry

The value obtained for the formation energy is -0.28 eV/atom. The value obtained for the size of the total moment is 0.00 μB per cell. Its crystal system is tetragonal. Its space group is I4/mmm, No. 139.

Cell lengths 4.7373, 4.7373, 7.4663 Å; angles 108.50, 108.50, 90.00 degrees
Positions (direct):
Li 0.6248 0.1248 0.2495
Li 0.3752 0.8752 0.7505
Li 0.5000 0.5000 0.0000
Li 0.8752 0.3752 0.7505
Li 0.1248 0.6248 0.2495
Cd 0.2509 0.2509 0.5019
Cd 0.7491 0.7491 0.4981
Pb 0.0000 0.0000 0.0000